(1)
# PBE BeIn4Te, optimized geometry
data_BeIn4Te
_chemical_formula_sum 'Be4 In16 Te4'
_space_group_name_H-M_alt 'F -4 3 m'
_space_group_IT_number 216
_space_group_name_Hall 'F -4 2 3'
_cell_length_a 8.787
_cell_length_b 8.787
_cell_length_c 8.787
_cell_angle_alpha 90.00
_cell_angle_beta 90.00
_cell_angle_gamma 90.00
loop_
_atom_site_label
_atom_site_type_symbol
_atom_site_fract_x
_atom_site_fract_y
_atom_site_fract_z
_atom_site_occupancy
Be1 Be 0.000 0.000 0.000 1
In1 In 0.125 0.125 0.625 1
Te1 Te 0.250 0.250 0.250 1
# ρ: 5.83 g cm⁻³
# VASP energy: -2.439 eV/atom
# V: 678.3 Å³/cell

=====

(2)
# PBE SmPaCo2, optimized geometry
data_SmPaCo2
_chemical_formula_sum 'Sm3 Pa3 Co6'
_space_group_name_H-M_alt 'R 3 m'
_space_group_IT_number 160
_space_group_name_Hall 'R 3 -2"'
_cell_length_a 3.6762
_cell_length_b 3.6762
_cell_length_c 20.8961
_cell_angle_alpha 90.00
_cell_angle_beta 90.00
_cell_angle_gamma 120.00
loop_
_atom_site_label
_atom_site_type_symbol
_atom_site_fract_x
_atom_site_fract_y
_atom_site_fract_z
_atom_site_occupancy
Sm1 Sm 0.0000 0.0000 0.0000 1
Pa1 Pa 0.0000 0.0000 0.1717 1
Co1 Co 0.0000 0.0000 0.5762 1
Co2 Co 0.0000 0.0000 0.7641 1
# ρ: 10.17 g cm⁻³
# excess energy over the best structure of this formula in the dataset: 0.218 eV/atom
# V: 244.6 Å³/cell

=====

(3)
# PBE Cs2KBaCl, optimized geometry
data_Cs2KBaCl
_chemical_formula_sum 'Cs2 K1 Ba1 Cl1'
_space_group_name_H-M_alt 'P 4/m m m'
_space_group_IT_number 123
_space_group_name_Hall '-P 4 2'
_cell_length_a 7.521
_cell_length_b 7.521
_cell_length_c 6.221
_cell_angle_alpha 90.00
_cell_angle_beta 90.00
_cell_angle_gamma 90.00
loop_
_atom_site_label
_atom_site_type_symbol
_atom_site_fract_x
_atom_site_fract_y
_atom_site_fract_z
_atom_site_occupancy
Cs1 Cs 0.000 0.500 0.000 1
K1 K 0.000 0.000 0.500 1
Ba1 Ba 0.500 0.500 0.500 1
Cl1 Cl 0.500 0.500 0.000 1
# ρ: 2.25 g cm⁻³
# VASP energy: -1.983 eV/atom
# V: 351.9 Å³/cell

=====

(4)
# PBE BeHgRh2, optimized geometry
data_BeHgRh2
_chemical_formula_sum 'Be1 Hg1 Rh2'
_space_group_name_H-M_alt 'P 4/m m m'
_space_group_IT_number 123
_space_group_name_Hall '-P 4 2'
_cell_length_a 2.890
_cell_length_b 2.890
_cell_length_c 6.780
_cell_angle_alpha 90.00
_cell_angle_beta 90.00
_cell_angle_gamma 90.00
loop_
_atom_site_label
_atom_site_type_symbol
_atom_site_fract_x
_atom_site_fract_y
_atom_site_fract_z
_atom_site_occupancy
Be1 Be 0.000 0.000 0.000 1
Hg1 Hg 0.000 0.000 0.500 1
Rh1 Rh 0.500 0.500 0.195 1
# ρ: 12.18 g cm⁻³
# excess energy over the best structure of this formula in the dataset: 0.000 eV/atom
# V: 56.6 Å³/cell

=====

(5)
# PBE RbNb2Tc, optimized geometry
data_RbNb2Tc
_chemical_formula_sum 'Rb4 Nb8 Tc4'
_space_group_name_H-M_alt 'F m -3 m'
_space_group_IT_number 225
_space_group_name_Hall '-F 4 2 3'
_cell_length_a 6.777
_cell_length_b 6.777
_cell_length_c 6.777
_cell_angle_alpha 90.00
_cell_angle_beta 90.00
_cell_angle_gamma 90.00
loop_
_atom_site_label
_atom_site_type_symbol
_atom_site_fract_x
_atom_site_fract_y
_atom_site_fract_z
_atom_site_occupancy
Rb1 Rb 0.000 0.000 0.000 1
Nb1 Nb 0.250 0.250 0.250 1
Tc1 Tc 0.000 0.000 0.500 1
# ρ: 7.88 g cm⁻³
# excess energy over the best structure of this formula in the dataset: 0.000 eV/atom
# V: 311.2 Å³/cell

=====

(6)
# PBE Sr6Al7ClO16, optimized geometry
data_Sr6Al7ClO16
_chemical_formula_sum 'Sr24 Al28 Cl4 O64'
_space_group_name_H-M_alt 'I -4 2 d'
_space_group_IT_number 122
_space_group_name_Hall 'I -4 2bw'
_cell_length_a 12.465
_cell_length_b 12.465
_cell_length_c 12.479
_cell_angle_alpha 90.00
_cell_angle_beta 90.00
_cell_angle_gamma 90.00
loop_
_atom_site_label
_atom_site_type_symbol
_atom_site_fract_x
_atom_site_fract_y
_atom_site_fract_z
_atom_site_occupancy
Sr1 Sr 0.000 0.000 0.229 1
Sr2 Sr 0.109 0.750 0.625 1
Sr3 Sr 0.136 0.250 0.125 1
Al1 Al 0.000 0.000 0.500 1
Al2 Al 0.015 0.234 0.359 1
Al3 Al 0.127 0.750 0.125 1
Cl1 Cl 0.000 0.000 0.000 1
O1 O 0.040 0.705 0.021 1
O2 O 0.044 0.103 0.412 1
O3 O 0.067 0.690 0.443 1
O4 O 0.148 0.217 0.918 1
# ρ: 3.45 g cm⁻³
# VASP energy: -6.945 eV/atom
# V: 1938.8 Å³/cell